[1]
A relaxed Sr2Sb2Pd3 crystal, computed with GGA-PBE.

```
14
Lattice="-0.9791 -6.3249 -5.4603 1.5215 -4.2919 4.6986 -7.0183 1.2876 -0.2330" Properties=species:S:1:pos:R:3 pbc="T T T"
Sr -3.4685 -5.8694 -3.6511
Sr -6.0129 -6.0540 -0.2809
Sb -2.7645 -7.2296 -0.4557
Pd -3.2380 -4.6646 -0.4974
Sb -7.0942 -4.8263 -3.2551
Pd -1.0884 -8.4826 -2.0319
Sb -3.7115 -2.0995 -0.5390
Pd 0.0000 0.0000 0.0000
Sr -0.4630 -3.2751 -0.7139
Sb 0.6182 -4.5029 2.2603
Pd -5.0061 -3.4180 -2.5338
Sr -3.0075 -3.4597 2.6563
Pd -1.4698 -5.9111 1.5390
Pd -5.3876 -0.8466 1.0371
```

Computed properties:
Density = 6.7 Mg/m³
Formation energy (no corrections) = -0.76 eV/atom
DFT total energy = -65.0 eV per cell
Polymorph energy (0 for the lowest one) = 0 meV per atom
Space group = P2_1/c, No. 14
Total moment = 0.00 μB/f.u.

---

[2]
A relaxed RbMnZn2Br8 crystal, computed with GGA-PBE.

```
12
Lattice="-5.2951 2.2886 3.2129 -6.0624 -1.3833 -2.2210 -3.9654 -8.4832 6.2925" Properties=species:S:1:pos:R:3 pbc="T T T"
Br -3.8641 -3.5273 2.9292
Br -5.8916 -7.6078 4.8246
Br -9.6523 -7.4650 4.9218
Br -7.6328 -5.7092 7.5698
Br -11.4588 -4.0506 4.3552
Rb -7.6614 -3.7889 3.6422
Zn -3.8239 -1.5583 1.5930
Br -7.6900 -1.8686 -0.2854
Br -9.4313 0.0300 2.4598
Zn -11.4990 -6.0195 5.6914
Br -5.6706 -0.1129 2.3626
Mn 0.0000 0.0000 0.0000
```

Computed properties:
Density = 3.8 Mg/m³
Formation energy (no corrections) = -0.90 eV/atom
DFT total energy = -36.9 eV per cell
Space group = R-3, No. 148
Total moment = 4.00 μB/f.u.

---

[3]
A relaxed PmYTe crystal, computed with GGA-PBE.

```
6
Lattice="-3.8835 3.3069 3.1404 0.4155 -5.6732 1.8765 4.5984 1.6447 3.9545" Properties=species:S:1:pos:R:3 pbc="T T T"
Te 1.1689 -0.4263 7.0047
Te -0.0385 -0.2952 1.9667
Pm 2.2355 0.5181 3.9223
Pm -1.1051 -1.2397 5.0491
Y -0.6593 -3.4282 2.1925
Y -2.8087 1.0619 2.8245
```

Computed properties:
Density = 5.8 Mg/m³
Formation energy (no corrections) = -0.49 eV/atom
DFT total energy = -31.7 eV per cell
Polymorph energy (0 for the lowest one) = 307 meV per atom
Space group = Cmme, No. 67
Total moment = 0.02 μB/f.u.

---

[4]
A relaxed UZn17Cd crystal, computed with GGA-PBE.

```
19
Lattice="-1.9550 6.3475 1.5987 -6.1370 -0.1086 -2.9989 -3.7314 -1.5130 5.5187" Properties=species:S:1:pos:R:3 pbc="T T T"
Zn -1.1630 0.4648 0.4051
Zn -6.7414 -0.0720 1.8921
Zn -9.8371 5.3976 1.3683
Zn -3.1789 4.3200 0.2214
Zn -3.1611 0.8498 4.2546
Zn -8.6636 4.7125 5.5236
Zn -10.6311 4.2492 3.7031
Zn -4.8051 1.8095 -1.5664
Zn -5.3284 -0.5059 -0.4117
Zn -10.7037 1.5629 3.2807
U -7.8101 3.1217 2.7204
Zn -4.3929 -1.0519 2.9004
Zn -2.4704 3.9063 2.7304
Cd -4.6611 1.8630 1.6236
Zn -5.9797 0.8863 4.1946
Zn -5.0906 4.8207 2.2325
Zn -5.8584 3.8349 -0.0563
Zn -4.6628 3.1369 4.1773
Zn -7.1838 1.5892 -0.0687
```

Computed properties:
Density = 7.8 Mg/m³
DFT total energy = -33.9 eV per cell
E_form = 0.00 eV per atom
Space group = R3m, No. 160
Total moment = 2.90 μB/f.u.

---

[5]
A relaxed Pm4Nd3Y4 crystal, computed with GGA-PBE.

```
11
Lattice="5.7892 0.0000 0.0000 -2.8946 6.0919 0.0000 0.0000 0.0000 10.7521" Properties=species:S:1:pos:R:3 pbc="T T T"
Nd 0.0000 4.9419 7.5743
Pm 2.8946 5.6152 0.0000
Nd 0.0000 3.1081 0.0000
Pm 2.8946 4.6742 5.3760
Pm 2.8946 3.1373 8.4887
Y 0.0000 1.2402 7.5477
Y 2.8946 1.3823 5.3760
Y 0.0000 1.2402 3.2044
Y 2.8946 0.6777 0.0000
Pm 2.8946 3.1373 2.2634
Nd 0.0000 4.9419 3.1778
```

Computed properties:
Density = 6.0 Mg/m³
DFT total energy = -57.5 eV per cell
Polymorph energy (0 for the lowest one) = 17 meV per atom
E_form = 0.15 eV per atom
Space group = Amm2, No. 38
Total moment = 0.00 μB/f.u.

---

[6]
A relaxed CeGa4Au8 crystal, computed with GGA-PBE.

```
13
Lattice="-2.3711 4.2219 -2.5818 -2.2837 -1.7510 -6.5976 -7.0854 0.3347 1.2227" Properties=species:S:1:pos:R:3 pbc="T T T"
Au -2.6955 0.8944 -1.8936
Ga -2.3274 1.2355 -4.5897
Au -4.5053 0.8100 -6.2011
Au -7.0194 0.4768 -4.4371
Au -5.4731 -0.3656 -1.4031
Au -7.2349 1.9956 -1.7556
Au -4.7208 2.3288 -3.5196
Ce 0.0000 0.0000 0.0000
Ga -3.5427 0.1673 0.6114
Ga -1.1419 -0.8755 -3.2988
Au -9.0447 1.9112 -6.0631
Ga -4.7282 2.2783 -0.6796
Au -3.8960 -1.0507 -3.9718
```

Computed properties:
Density = 13.6 Mg/m³
DFT total energy = -47.9 eV per cell
E_form = -0.28 eV per atom
Space group = I4/mmm, No. 139
Total moment = 0.93 μB/f.u.

---

Q: Which of these has the highest total moment?
A: RbMnZn2Br8

---

Q: Which formula does entry 5 have?
A: Pm4Nd3Y4

---

What did the third record say?
A relaxed PmYTe crystal, computed with GGA-PBE.

```
6
Lattice="-3.8835 3.3069 3.1404 0.4155 -5.6732 1.8765 4.5984 1.6447 3.9545" Properties=species:S:1:pos:R:3 pbc="T T T"
Te 1.1689 -0.4263 7.0047
Te -0.0385 -0.2952 1.9667
Pm 2.2355 0.5181 3.9223
Pm -1.1051 -1.2397 5.0491
Y -0.6593 -3.4282 2.1925
Y -2.8087 1.0619 2.8245
```

Computed properties:
Density = 5.8 Mg/m³
Formation energy (no corrections) = -0.49 eV/atom
DFT total energy = -31.7 eV per cell
Polymorph energy (0 for the lowest one) = 307 meV per atom
Space group = Cmme, No. 67
Total moment = 0.02 μB/f.u.